The following is a DFT calculation (PBE with a Hubbard U) of CrSbPbO6 after structural relaxation.

**Crystal system**: trigonal
**Spin magnetization**: 3.0 μB/f.u.
**Space-group type**: P-31c (163)
**VASP energy**: -6.38 eV/atom

extended XYZ file:
```
18
Lattice="5.2498 0.0000 0.0000 -2.6249 4.5465 0.0000 0.0000 0.0000 9.3190" Properties=species:S:1:pos:R:3 pbc="T T T"
Cr 0.0000 3.0310 2.3297
Cr 2.6249 1.5155 6.9892
Sb 0.0000 3.0310 6.9892
Sb 2.6249 1.5155 2.3297
Pb 0.0000 0.0000 0.0000
Pb 0.0000 0.0000 4.6595
O 4.3123 1.6207 5.9062
O -0.9348 1.6223 1.2467
O 3.5597 2.9242 8.0723
O -1.6874 2.9258 3.4128
O -0.7526 4.5449 1.2467
O 0.9348 1.6223 3.4128
O 1.8723 0.0016 5.9062
O 0.9376 1.6207 8.0723
O 0.7526 4.5449 3.4128
O 1.6874 2.9258 1.2467
O 3.3775 0.0016 8.0723
O 1.6901 2.9242 5.9062
```